(w)
Entry from Alexandria via LeMat-Bulk: a geometry-optimized NpScRh4 structure (PBE-GGA).

Unit cell a=9.6982 b=3.0674 c=7.3116 alpha=90.00 beta=112.87 gamma=90.00
Space group C2/m (No. 12)
Unique sites:
Np: 0.0000 0.0000 0.0000 (multiplicity 2)
Sc: 0.0000 0.0000 0.5000 (multiplicity 2)
Rh: 0.1607 0.5000 0.3256 (multiplicity 4)
Rh: 0.1631 0.5000 0.8338 (multiplicity 4)

## Properties
N(E_F) = 1.526 states/eV per atom
magnetization = 3.8 μB per cell
V = 16.70 Å³ per atom

***

(x)
Entry from Alexandria via LeMat-Bulk: a geometry-optimized NpScRh4 structure (PBE-GGA).

Unit cell a=7.4410 b=7.4410 c=7.4410 alpha=90.00 beta=90.00 gamma=90.00
Space group F-43m (No. 216)
Unique sites:
Np: 0.0000 0.0000 0.0000 (multiplicity 4)
Sc: 0.2500 0.2500 0.7500 (multiplicity 4)
Rh: 0.1247 0.1247 0.3753 (multiplicity 16)

## Properties
N(E_F) = 1.644 states/eV per atom
magnetization = 14.1 μB per cell
V = 17.17 Å³ per atom

***

How do the energies compare? Relative to the most stable structure, in meV per atom: (w) 103; (x) 0.

***

(w)
Entry from Alexandria via LeMat-Bulk: a geometry-optimized NpRhSe2 structure (PBE-GGA).

Unit cell a=6.7147 b=4.3172 c=8.2238 alpha=90.00 beta=111.29 gamma=90.00
Space group Cm (No. 8)
Unique sites:
Np: 0.0000 0.0000 0.0000 (multiplicity 2)
Rh: 0.3377 0.0000 0.2312 (multiplicity 2)
Se: 0.0124 0.0000 0.3479 (multiplicity 2)
Se: 0.0703 0.5000 0.8006 (multiplicity 2)

## Properties
N(E_F) = 2.006 states/eV per atom
magnetization = 5.2 μB per cell
V = 27.77 Å³ per atom

***

(x)
Entry from Alexandria via LeMat-Bulk: a geometry-optimized NpRhSe2 structure (PBE-GGA).

Unit cell a=3.6182 b=3.6182 c=25.5259 alpha=90.00 beta=90.00 gamma=120.00
Space group R-3m (No. 166, hexagonal axes)
Unique sites:
Np: 0.0000 0.0000 0.0000 (multiplicity 3)
Rh: 0.0000 0.0000 0.5000 (multiplicity 3)
Se: 0.0000 0.0000 0.1128 (multiplicity 6)

## Properties
N(E_F) = 1.805 states/eV per atom
magnetization = 15.2 μB per cell
V = 24.12 Å³ per atom

***

How do the energies compare? Relative to the most stable structure, in meV per atom: (w) 0; (x) 496.

***

(w)
Entry from Alexandria via LeMat-Bulk: a geometry-optimized NpSi2Rh2 structure (PBE-GGA).

Unit cell a=4.0282 b=4.0282 c=10.1698 alpha=90.00 beta=90.00 gamma=90.00
Space group I4/mmm (No. 139)
Unique sites:
Np: 0.0000 0.0000 0.0000 (multiplicity 2)
Si: 0.0000 0.0000 0.3805 (multiplicity 4)
Rh: 0.0000 0.5000 0.2500 (multiplicity 4)

## Properties
N(E_F) = 2.215 states/eV per atom
magnetization = 8.1 μB per cell
V = 16.50 Å³ per atom

***

(x)
Entry from Alexandria via LeMat-Bulk: a geometry-optimized NpSi2Rh2 structure (PBE-GGA).

Unit cell a=4.0005 b=4.0005 c=16.3207 alpha=90.00 beta=90.00 gamma=90.00
Space group I4/mmm (No. 139)
Unique sites:
Np: 0.0000 0.0000 0.0000 (multiplicity 2)
Si: 0.0000 0.0000 0.1762 (multiplicity 4)
Rh: 0.0000 0.5000 0.2500 (multiplicity 4)

## Properties
N(E_F) = 2.059 states/eV per atom
magnetization = 10.9 μB per cell
V = 26.12 Å³ per atom

***

How do the energies compare? Relative to the most stable structure, in meV per atom: (w) 0; (x) 973.

***

(w)
Entry from Alexandria via LeMat-Bulk: a geometry-optimized SrNpRh2 structure (PBE-GGA).

Unit cell a=3.4087 b=3.4087 c=7.5609 alpha=90.00 beta=90.00 gamma=90.00
Space group P4/mmm (No. 123)
Unique sites:
Sr: 0.0000 0.0000 0.0000 (multiplicity 1)
Np: 0.0000 0.0000 0.5000 (multiplicity 1)
Rh: 0.5000 0.5000 0.3006 (multiplicity 2)

## Properties
N(E_F) = 1.905 states/eV per atom
magnetization = 2.8 μB per cell
V = 21.96 Å³ per atom

***

(x)
Entry from Alexandria via LeMat-Bulk: a geometry-optimized SrNpRh2 structure (PBE-GGA).

Unit cell a=3.9110 b=3.9110 c=21.9954 alpha=90.00 beta=90.00 gamma=120.00
Space group R-3m (No. 166, hexagonal axes)
Unique sites:
Sr: 0.0000 0.0000 0.0000 (multiplicity 3)
Np: 0.0000 0.0000 0.5000 (multiplicity 3)
Rh: 0.0000 0.0000 0.2332 (multiplicity 6)

## Properties
N(E_F) = 1.803 states/eV per atom
magnetization = 8.5 μB per cell
V = 24.28 Å³ per atom

***

How do the energies compare? Relative to the most stable structure, in meV per atom: (w) 0; (x) 111.

***

(w)
Entry from Alexandria via LeMat-Bulk: a geometry-optimized NpTa2Rh structure (PBE-GGA).

Unit cell a=2.8830 b=2.8830 c=8.6256 alpha=90.00 beta=90.00 gamma=90.00
Space group P4/mmm (No. 123)
Unique sites:
Np: 0.0000 0.0000 0.0000 (multiplicity 1)
Ta: 0.5000 0.5000 0.2782 (multiplicity 2)
Rh: 0.0000 0.0000 0.5000 (multiplicity 1)

## Properties
N(E_F) = 1.908 states/eV per atom
magnetization = 2.0 μB per cell
V = 17.92 Å³ per atom

***

(x)
Entry from Alexandria via LeMat-Bulk: a geometry-optimized NpTa2Rh structure (PBE-GGA).

Unit cell a=4.8806 b=4.8806 c=2.9626 alpha=90.00 beta=90.00 gamma=90.00
Space group P4/mmm (No. 123)
Unique sites:
Np: 0.0000 0.0000 0.0000 (multiplicity 1)
Ta: 0.0000 0.5000 0.5000 (multiplicity 2)
Rh: 0.5000 0.5000 0.0000 (multiplicity 1)

## Properties
N(E_F) = 1.312 states/eV per atom
magnetization = 2.6 μB per cell
V = 17.64 Å³ per atom

***

How do the energies compare? Relative to the most stable structure, in meV per atom: (w) 0; (x) 14.

***

(w)
Entry from Alexandria via LeMat-Bulk: a geometry-optimized Np2TcRh structure (PBE-GGA).

Unit cell a=6.7591 b=6.7591 c=6.7591 alpha=90.00 beta=90.00 gamma=90.00
Space group Fm-3m (No. 225)
Unique sites:
Np: 0.2500 0.2500 0.2500 (multiplicity 8)
Tc: 0.0000 0.0000 0.0000 (multiplicity 4)
Rh: 0.0000 0.0000 0.5000 (multiplicity 4)

## Properties
N(E_F) = 2.103 states/eV per atom
magnetization = 25.1 μB per cell
V = 19.30 Å³ per atom

***

(x)
Entry from Alexandria via LeMat-Bulk: a geometry-optimized Np2TcRh structure (PBE-GGA).

Unit cell a=3.4250 b=3.4250 c=6.5998 alpha=90.00 beta=90.00 gamma=90.00
Space group P4/mmm (No. 123)
Unique sites:
Np: 0.0000 0.0000 0.2489 (multiplicity 2)
Tc: 0.5000 0.5000 0.5000 (multiplicity 1)
Rh: 0.5000 0.5000 0.0000 (multiplicity 1)

## Properties
N(E_F) = 2.000 states/eV per atom
magnetization = 6.6 μB per cell
V = 19.36 Å³ per atom

***

How do the energies compare? Relative to the most stable structure, in meV per atom: (w) 28; (x) 0.

***

(w)
Entry from Alexandria via LeMat-Bulk: a geometry-optimized NpTi2Rh structure (PBE-GGA).

Unit cell a=4.7221 b=4.7221 c=2.9743 alpha=90.00 beta=90.00 gamma=90.00
Space group P4/mmm (No. 123)
Unique sites:
Np: 0.0000 0.0000 0.0000 (multiplicity 1)
Ti: 0.0000 0.5000 0.5000 (multiplicity 2)
Rh: 0.5000 0.5000 0.0000 (multiplicity 1)

## Properties
N(E_F) = 1.534 states/eV per atom
magnetization = 3.5 μB per cell
V = 16.58 Å³ per atom

***

(x)
Entry from Alexandria via LeMat-Bulk: a geometry-optimized NpTi2Rh structure (PBE-GGA).

Unit cell a=6.4445 b=6.4445 c=6.4445 alpha=90.00 beta=90.00 gamma=90.00
Space group Fm-3m (No. 225)
Unique sites:
Np: 0.0000 0.0000 0.0000 (multiplicity 4)
Ti: 0.2500 0.2500 0.2500 (multiplicity 8)
Rh: 0.0000 0.0000 0.5000 (multiplicity 4)

## Properties
N(E_F) = 3.282 states/eV per atom
magnetization = 13.7 μB per cell
V = 16.73 Å³ per atom

***

(y)
Entry from Alexandria via LeMat-Bulk: a geometry-optimized NpTi2Rh structure (PBE-GGA).

Unit cell a=3.0291 b=3.0291 c=7.4728 alpha=90.00 beta=90.00 gamma=90.00
Space group P4/mmm (No. 123)
Unique sites:
Np: 0.0000 0.0000 0.0000 (multiplicity 1)
Ti: 0.5000 0.5000 0.2815 (multiplicity 2)
Rh: 0.0000 0.0000 0.5000 (multiplicity 1)

## Properties
N(E_F) = 1.547 states/eV per atom
magnetization = 3.5 μB per cell
V = 17.14 Å³ per atom

***

How do the energies compare? Relative to the most stable structure, in meV per atom: (w) 93; (x) 261; (y) 0.

***

(w)
Entry from Alexandria via LeMat-Bulk: a geometry-optimized TmNpRh4 structure (PBE-GGA).

Unit cell a=9.4879 b=3.3923 c=6.9630 alpha=90.00 beta=108.90 gamma=90.00
Space group C2/m (No. 12)
Unique sites:
Tm: 0.0000 0.0000 0.0000 (multiplicity 2)
Np: 0.0000 0.0000 0.5000 (multiplicity 2)
Rh: 0.1500 0.5000 0.3521 (multiplicity 4)
Rh: 0.1736 0.5000 0.8118 (multiplicity 4)

## Properties
N(E_F) = 1.599 states/eV per atom
magnetization = 3.3 μB per cell
V = 17.67 Å³ per atom

***

(x)
Entry from Alexandria via LeMat-Bulk: a geometry-optimized TmNpRh4 structure (PBE-GGA).

Unit cell a=7.5084 b=7.5084 c=7.5084 alpha=90.00 beta=90.00 gamma=90.00
Space group F-43m (No. 216)
Unique sites:
Tm: 0.0000 0.0000 0.0000 (multiplicity 4)
Np: 0.2500 0.2500 0.2500 (multiplicity 4)
Rh: 0.1251 0.1251 0.6251 (multiplicity 16)

## Properties
N(E_F) = 1.673 states/eV per atom
magnetization = 14.1 μB per cell
V = 17.64 Å³ per atom

***

How do the energies compare? Relative to the most stable structure, in meV per atom: (w) 143; (x) 0.

***

(w)
Entry from Alexandria via LeMat-Bulk: a geometry-optimized NpURh structure (PBE-GGA).

Unit cell a=3.3631 b=4.9077 c=7.2212 alpha=90.00 beta=90.00 gamma=90.00
Space group Pmmn (No. 59, origin choice 2)
Unique sites:
Np: 0.2500 0.2500 0.2444 (multiplicity 2)
U: 0.2500 0.7500 0.4841 (multiplicity 2)
Rh: 0.2500 0.7500 0.0464 (multiplicity 2)

## Properties
N(E_F) = 2.202 states/eV per atom
magnetization = 3.3 μB per cell
V = 19.86 Å³ per atom

***

(x)
Entry from Alexandria via LeMat-Bulk: a geometry-optimized NpURh structure (PBE-GGA).

Unit cell a=3.3152 b=3.3152 c=9.8938 alpha=90.00 beta=90.00 gamma=90.00
Space group I4mm (No. 107)
Unique sites:
Np: 0.0000 0.0000 0.0000 (multiplicity 2)
U: 0.0000 0.0000 0.6243 (multiplicity 2)
Rh: 0.0000 0.0000 0.3130 (multiplicity 2)

## Properties
N(E_F) = 2.032 states/eV per atom
magnetization = 0.0 μB per cell
V = 18.12 Å³ per atom

***

How do the energies compare? Relative to the most stable structure, in meV per atom: (w) 293; (x) 0.

***

(w)
Entry from Alexandria via LeMat-Bulk: a geometry-optimized NpV2Rh structure (PBE-GGA).

Unit cell a=3.1617 b=3.1617 c=6.0452 alpha=90.00 beta=90.00 gamma=90.00
Space group P4/mmm (No. 123)
Unique sites:
Np: 0.0000 0.0000 0.0000 (multiplicity 1)
V: 0.5000 0.5000 0.2392 (multiplicity 2)
Rh: 0.0000 0.0000 0.5000 (multiplicity 1)

## Properties
N(E_F) = 1.279 states/eV per atom
magnetization = 1.9 μB per cell
V = 15.11 Å³ per atom

***

(x)
Entry from Alexandria via LeMat-Bulk: a geometry-optimized NpV2Rh structure (PBE-GGA).

Unit cell a=4.6111 b=4.6111 c=2.8426 alpha=90.00 beta=90.00 gamma=90.00
Space group P4/mmm (No. 123)
Unique sites:
Np: 0.0000 0.0000 0.0000 (multiplicity 1)
V: 0.0000 0.5000 0.5000 (multiplicity 2)
Rh: 0.5000 0.5000 0.0000 (multiplicity 1)

## Properties
N(E_F) = 1.714 states/eV per atom
magnetization = 2.1 μB per cell
V = 15.11 Å³ per atom

***

(y)
Entry from Alexandria via LeMat-Bulk: a geometry-optimized NpV2Rh structure (PBE-GGA).

Unit cell a=6.2674 b=6.2674 c=6.2674 alpha=90.00 beta=90.00 gamma=90.00
Space group Fm-3m (No. 225)
Unique sites:
Np: 0.0000 0.0000 0.0000 (multiplicity 4)
V: 0.2500 0.2500 0.2500 (multiplicity 8)
Rh: 0.0000 0.0000 0.5000 (multiplicity 4)

## Properties
N(E_F) = 3.031 states/eV per atom
magnetization = 14.9 μB per cell
V = 15.39 Å³ per atom

***

How do the energies compare? Relative to the most stable structure, in meV per atom: (w) 118; (x) 0; (y) 150.